5
Lattice="-1.8686 -1.8115 -3.9999 -3.9211 -1.2681 2.4061 -1.9763 4.2288 -0.9919" Properties=species:S:1:pos:R:3 comment="HgOsW3 (PBE-GGA, relaxed)" total_magnetization_mub_per_fu=0.00 dft_energy_ev_per_cell=-40.786 volume_a3_per_cell=108.7 rho_g_cm3=14.40 formation_enthalpy_0k_kcal_per_mol_atoms=44.30 space_group="Pm-3m (221)" pbc="T T T"
Os 0.0000 0.0000 0.0000
Hg -3.8830 0.5746 -1.2928
W -1.9605 -0.6341 1.2030
W -0.9881 2.1144 -0.4959
W -0.9343 -0.9057 -1.9999